No. 1
Here is TbNd6Sm2Er after structural relaxation from the Alexandria database. Energies are from GGA-PBE.

SG ... C2/c (15)

Cell lengths 9.759, 8.991, 8.991 Å; angles 118.06, 94.07, 94.07 degrees
Sites, in units of the cell vectors:
Tb 0.250 0.976 0.024
Tb 0.750 0.024 0.976
Nd 0.054 0.121 0.758
Nd 0.446 0.242 0.879
Nd 0.946 0.879 0.242
Nd 0.554 0.758 0.121
Nd 0.311 0.988 0.431
Nd 0.189 0.569 0.012
Nd 0.689 0.012 0.569
Nd 0.811 0.431 0.988
Nd 0.118 0.708 0.495
Nd 0.382 0.505 0.292
Nd 0.882 0.292 0.505
Nd 0.618 0.495 0.708
Sm 0.456 0.801 0.701
Sm 0.044 0.299 0.199
Sm 0.544 0.199 0.299
Sm 0.956 0.701 0.801
Er 0.250 0.410 0.590
Er 0.750 0.590 0.410

***

No. 2
Here is Ba2YN after structural relaxation from the Alexandria database. Energies are from GGA-PBE.

SG ... I-42d (122)

Cell lengths 11.322, 11.322, 8.328 Å; angles 47.17, 47.17, 90.00 degrees
Sites, in units of the cell vectors:
Y 0.000 0.000 0.000
Y 0.750 0.250 0.500
Ba 0.459 0.125 0.250
Ba 0.291 0.625 0.250
Ba 0.375 0.541 0.750
Ba 0.875 0.709 0.750
N 0.500 0.500 0.000
N 0.250 0.750 0.500

***

No. 3
Here is PmThAs2 after structural relaxation from the Alexandria database. Energies are from GGA-PBE.

SG ... R3m (160)
Offset from the most stable computed form ... 0.60 eV/f.u.

Cell lengths 4.146, 4.146, 7.756 Å; angles 74.50, 74.50, 60.00 degrees
Sites, in units of the cell vectors:
Pm 0.670 0.670 0.990
Th 0.498 0.498 0.507
As 0.082 0.082 0.755
As 0.251 0.251 0.248

***

Taking the records one at a time from the top gives raw total energy values of -92.19; -39.07; -26.78 eV per cell.
Taking the records one at a time from the top gives density values of 7.188; 4.267; 7.967 g cm⁻³.
Taking the records one at a time from the top gives density of states at the Fermi level values of 28.4; 9.1; 2.3 states/eV per cell.